Record 1
{
  "formula": "LiCrIn2O6",
  "functional": "PBE with a Hubbard U",
  "state": "relaxed",
  "lattice": [[4.890, 0.000, 0.000], [0.000, 5.162, 0.000], [0.000, 0.000, 5.162]],
  "species": ["In", "O", "O", "Cr", "O", "Li", "O", "In", "O", "O"],
  "fractional_positions": [[0.971, 0.500, 0.000], [0.732, 0.235, 0.765], [0.168, 0.500, 0.500], [0.594, 0.000, 0.000], [0.732, 0.765, 0.235], [0.564, 0.500, 0.500], [0.732, 0.765, 0.765], [0.971, 0.000, 0.500], [0.251, 0.000, 0.000], [0.732, 0.235, 0.235]],
  "dft_energy_ev_per_cell": -56.639,
  "space_group": "P4mm, No. 99",
  "n_ef_per_ev_cell": 3.65
}

---

Record 2
{
  "formula": "Li2CrInO4",
  "functional": "PBE with a Hubbard U",
  "state": "relaxed",
  "lattice": [[4.207, 0.003, 0.000], [-0.001, 4.207, 0.000], [-2.103, -2.105, 4.688]],
  "species": ["Cr", "Li", "In", "O", "O", "O", "Li", "O"],
  "fractional_positions": [[0.500, 0.500, 0.000], [0.250, 0.750, 0.500], [0.750, 0.250, 0.500], [0.285, 0.285, 0.570], [0.988, 0.488, 0.977], [0.715, 0.715, 0.430], [0.000, 0.000, 0.000], [0.512, 0.012, 0.023]],
  "dft_energy_ev_per_cell": -48.573,
  "space_group": "I-4m2, No. 119",
  "n_ef_per_ev_cell": 0.00
}